Computed, not measured: a relaxed structure of ErLuSnIr at the PBE level of DFT.

Its crystal system is cubic. The value obtained for the formation energy is -0.636 eV/atom. The space-group type is F-43m. For the total energy, the calculation gives -6.1233 eV/atom.

Lattice parameters (Å, degrees): 5.012 5.012 5.012 60.00 60.00 60.00
Positions (direct):
Er1 0.500 0.500 0.500
Lu1 0.000 0.000 0.000
Ir1 0.750 0.750 0.750
Sn1 0.250 0.250 0.250

***

Computed, not measured: a relaxed structure of TbSn4Bi at the PBE level of DFT.

Its crystal system is cubic. The value obtained for the formation energy is -0.122 eV/atom. The space-group type is F-43m. For the total energy, the calculation gives -4.2091 eV/atom.

Lattice parameters (Å, degrees): 6.201 6.201 6.201 60.00 60.00 60.00
Positions (direct):
Sn1 0.625 0.625 0.625
Sn2 0.625 0.625 0.124
Sn3 0.625 0.124 0.625
Sn4 0.124 0.625 0.625
Tb1 0.000 0.000 0.000
Bi1 0.250 0.250 0.250

***

Computed, not measured: a relaxed structure of CaYFe2 at the PBE level of DFT.

Its crystal system is tetragonal. The value obtained for the formation energy is 0.554 eV/atom. The space-group type is I-4m2. For the total energy, the calculation gives -5.7935 eV/atom.

Lattice parameters (Å, degrees): 5.549 5.549 5.549 135.59 135.59 64.61
Positions (direct):
Y1 0.500 0.500 0.000
Fe1 0.250 0.750 0.500
Fe2 0.000 0.000 0.000
Ca1 0.750 0.250 0.500

***

Computed, not measured: a relaxed structure of ZnPb4Au at the PBE level of DFT.

Its crystal system is cubic. The value obtained for the formation energy is 0.407 eV/atom. The space-group type is F-43m. For the total energy, the calculation gives -2.8235 eV/atom.

Lattice parameters (Å, degrees): 6.376 6.376 6.376 60.00 60.00 60.00
Positions (direct):
Zn1 0.750 0.750 0.750
Pb1 0.875 0.375 0.375
Pb2 0.375 0.375 0.375
Pb3 0.375 0.875 0.375
Pb4 0.375 0.375 0.875
Au1 0.000 0.000 0.000